1.
First-principles (GGA-PBE) data for a geometry-optimized TbEuInPb structure, as listed in Alexandria.

abc: 7.7739 7.7739 7.7739
angles: 90.00 90.00 90.00
Last column: nearest neighbours and their distance in Å.
Fractional coordinates of all 16 atoms:
Tb (0.0000, 0.0000, 0.0000)  4 Pb 3.37, 4 In 3.37
Tb (0.0000, 0.5000, 0.5000)  4 Pb 3.37, 4 In 3.37
Tb (0.5000, 0.0000, 0.5000)  4 Pb 3.37, 4 In 3.37
Tb (0.5000, 0.5000, 0.0000)  4 Pb 3.37, 4 In 3.37
Eu (0.0000, 0.0000, 0.5000)  4 In 3.37, 4 Pb 3.37
Eu (0.0000, 0.5000, 0.0000)  4 In 3.37, 4 Pb 3.37
Eu (0.5000, 0.0000, 0.0000)  4 In 3.37, 4 Pb 3.37
Eu (0.5000, 0.5000, 0.5000)  4 In 3.37, 4 Pb 3.37
In (0.2500, 0.2500, 0.7500)  4 Tb 3.37, 4 Eu 3.37
In (0.2500, 0.7500, 0.2500)  4 Tb 3.37, 4 Eu 3.37
In (0.7500, 0.2500, 0.2500)  4 Tb 3.37, 4 Eu 3.37
In (0.7500, 0.7500, 0.7500)  4 Tb 3.37, 4 Eu 3.37
Pb (0.2500, 0.2500, 0.2500)  4 Tb 3.37, 4 Eu 3.37
Pb (0.2500, 0.7500, 0.7500)  4 Tb 3.37, 4 Eu 3.37
Pb (0.7500, 0.2500, 0.7500)  4 Tb 3.37, 4 Eu 3.37
Pb (0.7500, 0.7500, 0.2500)  4 Tb 3.37, 4 Eu 3.37

The formation energy comes out at -443.2 meV per atom. As for the symmetry: F-43m. The final energy comes out at -92.5 eV for the cell shown. The calculated volume comes out at 29.4 Å³ per atom.

2.
First-principles (GGA-PBE) data for a geometry-optimized Ti6AlO structure, as listed in Alexandria.

abc: 5.4296 5.4723 5.8276
angles: 90.79 116.74 119.64
Last column: nearest neighbours and their distance in Å.
Fractional coordinates of all 8 atoms:
Ti (0.0792, 0.0783, 0.2634)  1 O 2.08
Ti (0.2626, 0.6834, 0.2633)  1 O 2.07
Ti (0.3119, 0.4958, 0.7401)  1 O 2.07
Ti (0.6881, 0.5042, 0.2599)  1 O 2.07
Ti (0.7374, 0.3166, 0.7367)  1 O 2.07
Ti (0.9208, 0.9217, 0.7366)  1 O 2.08
Al (0.5000, 0.0000, 0.0000)  6 Ti 2.58-2.60
O (0.5000, 0.5000, 0.5000)  6 Ti 2.07-2.08

As for the symmetry: P-1. The final energy comes out at -60.1 eV for the cell shown. For the formation energy (no corrections), the calculation gives -0.507 eV/atom. The calculated volume comes out at 16.0 Å³ per atom.

3.
First-principles (GGA-PBE) data for a geometry-optimized Cu2PbSe structure, as listed in Alexandria.

abc: 6.9931 4.0283 6.3312
angles: 90.00 111.67 90.00
Last column: nearest neighbours and their distance in Å.
Fractional coordinates of all 8 atoms:
Cu (0.0000, 0.0000, 0.0000)  3 Cu 2.47-2.48, 3 Se 2.48
Cu (0.2149, 0.5000, 0.1427)  3 Cu 2.47-2.48
Cu (0.5000, 0.5000, 0.0000)  3 Cu 2.47-2.48, 3 Se 2.48
Cu (0.7149, 0.0000, 0.1427)  3 Cu 2.47-2.48
Pb (0.4744, 0.0000, 0.4182)  3 Cu 2.83-2.84
Pb (0.9744, 0.5000, 0.4182)  3 Cu 2.83-2.84
Se (0.2841, 0.0000, 0.8551)  3 Cu 2.48
Se (0.7841, 0.5000, 0.8551)  3 Cu 2.48

As for the symmetry: Cm. The final energy comes out at -30.8 eV for the cell shown. For the formation energy (no corrections), the calculation gives -0.002 eV/atom. The calculated volume comes out at 20.7 Å³ per atom.

no.,spin magnetization (μB/f.u.)
1,7.2
2,0.0
3,0.0